DFT (GGA-PBE) results for a relaxed Cs3Na2TlCl6 crystal.

Cell lengths 10.2996, 10.2996, 9.3041 Å; angles 103.79, 103.79, 25.87 degrees
Last column: nearest neighbours and their distance in Å.
Positions (direct):
Cs (0.0000, 0.0000, 0.0000)  6 Cl 3.38-3.49
Cs (0.3377, 0.3377, 0.6661)  6 Cl 3.37-3.54
Cs (0.6623, 0.6623, 0.3339)  6 Cl 3.37-3.54
Na (0.3269, 0.3269, 0.1564)  6 Cl 2.89-3.10
Na (0.6731, 0.6731, 0.8436)  6 Cl 2.89-3.10
Tl (0.0000, 0.0000, 0.5000)  6 Cl 3.22-3.24
Cl (0.1659, 0.1659, 0.6180)  2 Na 3.10, 1 Tl 3.24, 1 Cs 3.37
Cl (0.1784, 0.1784, 0.0613)  3 Na 2.89-3.05
Cl (0.4805, 0.4805, 0.2519)  1 Na 2.99, 2 Tl 3.22
Cl (0.5195, 0.5195, 0.7481)  1 Na 2.99, 2 Tl 3.22
Cl (0.8216, 0.8216, 0.9387)  3 Na 2.89-3.05
Cl (0.8341, 0.8341, 0.3820)  2 Na 3.10, 1 Tl 3.24, 1 Cs 3.37

Properties
* calculated total energy: -39.092 eV for the cell shown